Entry from Alexandria via LeMat-Bulk: crystalline FeSi2Ru4 at its relaxed geometry (PBE).

Output
**Formation energy (no corrections)**: -1.115 eV per formula unit
**Total DFT energy (no corrections)**: -57.53 eV per cell
**DOS at the Fermi energy**: 6.8 states/eV/f.u.

Lattice parameters (Å, degrees): 5.0114 5.0114 5.0114 108.89 109.76 109.76
Closest atoms and distances in Å follow each position.
Fractional positions:
Fe: 0.0000 0.0000 0.0000  8 Ru 2.51
Si: 0.5000 0.5000 0.0000  8 Ru 2.51
Si: 0.5000 0.0000 0.5000  8 Ru 2.51
Ru: 0.5000 0.0000 0.0000  4 Si 2.51, 2 Fe 2.51
Ru: 0.5000 0.5000 0.5000  2 Fe 2.51, 4 Si 2.51
Ru: 0.0000 0.0000 0.5000  4 Si 2.51, 2 Fe 2.51
Ru: 0.0000 0.5000 0.0000  4 Si 2.51, 2 Fe 2.51